Compound: FeCo3
Source: Alexandria
Functional: PBE-GGA
Structure: relaxed

The structure in POSCAR format:
```
FeCo3
1.0
2.444 -0.022 0.000
-0.843 2.294 0.000
0.000 0.000 16.085
Co Fe
6 2
direct
0.500 0.500 0.375 Co
0.000 0.000 0.999 Co
0.500 0.500 0.874 Co
0.000 0.000 0.751 Co
0.500 0.500 0.626 Co
0.000 0.000 0.250 Co
0.500 0.500 0.125 Fe
0.000 0.000 0.501 Fe
```

Results
The size of the total moment comes out at 16.0 Bohr magnetons per cell. Its space-group type is Cmme (67). The formation energy comes out at 48.2 meV/atom. The density comes out at 8.59 g cm⁻³.